Record 1
{
  "formula": "DyScTe2",
  "functional": "GGA-PBE",
  "state": "optimized geometry",
  "rho_g_cm3": 6.97,
  "e_above_lowest_polymorph_kj_per_mol_atoms": 0.00,
  "n_ef_per_ev_fu": 2.36,
  "volume_a3_per_atom": 27.538,
  "e_form_raw_ev_per_fu": -4.9,
  "lattice": [[4.158, 0.000, 0.000], [-2.079, 3.601, 0.002], [0.000, -0.004, 7.357]],
  "species": ["Dy", "Sc", "Te", "Te"],
  "frac_coords": [[0.000, 0.500, 0.500], [0.000, 0.500, 0.000], [0.667, 0.833, 0.764], [0.333, 0.167, 0.236]]
}


Record 2
{
  "formula": "Rb3P2H4",
  "functional": "GGA-PBE",
  "state": "optimized geometry",
  "dft_energy_ev_per_atom": -3.231,
  "rho_g_cm3": 2.21,
  "n_ef_per_ev_fu": 1.37,
  "volume_a3_per_atom": 26.946,
  "lattice": [[4.038, -0.538, 0.869], [-2.828, 6.465, -2.110], [1.483, -0.070, 10.153]],
  "species": ["Rb", "Rb", "Rb", "P", "P", "H", "H", "H", "H"],
  "frac_coords": [[0.671, 0.341, 0.661], [0.000, 0.000, 0.000], [0.329, 0.659, 0.339], [0.338, 0.144, 0.334], [0.662, 0.856, 0.666], [0.574, 0.264, 0.219], [0.426, 0.736, 0.781], [0.994, 0.842, 0.665], [0.006, 0.158, 0.335]]
}


Record 3
{
  "formula": "Bi2SCl",
  "functional": "GGA-PBE",
  "state": "optimized geometry",
  "rho_g_cm3": 8.26,
  "e_above_lowest_polymorph_kj_per_mol_atoms": 23.52,
  "n_ef_per_ev_fu": 2.22,
  "volume_a3_per_atom": 24.396,
  "e_form_raw_ev_per_fu": 0.0,
  "lattice": [[0.000, 3.654, 3.654], [3.654, 0.000, 3.654], [3.654, 3.654, 0.000]],
  "species": ["S", "Bi", "Bi", "Cl"],
  "frac_coords": [[0.000, 0.000, 0.000], [0.250, 0.250, 0.250], [0.750, 0.750, 0.750], [0.500, 0.500, 0.500]]
}